# PBE Nd4Ho3ScS8, relaxed
# Space-group type   R-3m
# Calculated total energy   -6.4904 eV per atom
# Magnetic moment   0.00 μB per formula unit
# Density of states at the Fermi level   7.294 states/eV/f.u.
# Formation energy (no corrections)   -3058 kJ/mol of formula units
# Crystal system   trigonal
data_Nd4Ho3ScS8
_symmetry_space_group_name_H-M 'P 1'
_symmetry_Int_Tables_number 1
_symmetry_space_group_name_Hall 'P 1'
_cell_length_a 7.8291
_cell_length_b 8.0032
_cell_length_c 7.8290
_cell_angle_alpha 119.28
_cell_angle_beta 120.00
_cell_angle_gamma 90.00
loop_
_atom_site_label
_atom_site_type_symbol
_atom_site_fract_x
_atom_site_fract_y
_atom_site_fract_z
S1 S 0.2389 0.7269 0.9880
S2 S 0.7611 0.2731 0.5222
Nd1 Nd 0.0000 0.0000 0.0000
Nd2 Nd 0.0000 0.0000 0.5000
S3 S 0.2509 0.2731 0.0120
S4 S 0.7438 0.7315 0.4877
S5 S 0.7611 0.2731 0.0120
Nd3 Nd 0.5000 0.0000 0.5000
Ho1 Ho 0.5000 0.5000 0.0000
Ho2 Ho 0.5000 0.5000 0.5000
Nd4 Nd 0.5000 0.0000 0.0000
S6 S 0.7491 0.7269 0.9880
Ho3 Ho 0.0000 0.5000 0.5000
S7 S 0.2389 0.7269 0.4778
S8 S 0.2562 0.2685 0.5123
Sc1 Sc 0.0000 0.5000 0.0000